! CeCuAs2, optimized geometry, DFT PBE-GGA; values from VASP
! Energy relative to the elements in meV/atom: -545
! VASP energy in Ha/atom: -0.1976
! ρ in Mg/m³: 7.37
! Total moment in μB per atom: 0.000
&SYSTEM
  ibrav = 0, nat = 4, ntyp = 3
/
ATOMIC_SPECIES
Ce 140.12 Ce.upf
Cu 63.55 Cu.upf
As 74.92 As.upf
ATOMIC_POSITIONS angstrom
Ce 0.0000 0.0000 0.0000
Cu 0.0000 0.0000 7.1830
As 0.0000 0.0000 3.1728
As 0.0000 0.0000 11.1932
CELL_PARAMETERS angstrom
2.1918 1.2655 4.7886
-2.1918 1.2655 4.7886
0.0000 -2.5309 4.7886